# 1
# KIn9Ga3 | the Alexandria database | PBE | optimized geometry
data_KIn9Ga3
_chemical_formula_sum 'K1 In9 Ga3'
_cell_length_a 5.758
_cell_length_b 8.108
_cell_length_c 8.301
_cell_angle_alpha 84.12
_cell_angle_beta 69.71
_cell_angle_gamma 72.83
_space_group_name_H-M_alt 'P 1'
_space_group_IT_number 1
_space_group_name_Hall 'P 1'
loop_
_atom_site_label
_atom_site_type_symbol
_atom_site_fract_x
_atom_site_fract_y
_atom_site_fract_z
In1 In 0.000 0.500 0.000
In2 In 0.292 0.209 0.216
K1 K 0.000 0.000 0.000
In3 In 0.647 0.350 0.360
Ga1 Ga 0.000 0.000 0.500
In4 In 0.708 0.791 0.784
In5 In 0.491 0.791 0.216
In6 In 0.008 0.350 0.640
In7 In 0.992 0.650 0.360
Ga2 Ga 0.500 0.500 0.000
In8 In 0.353 0.650 0.640
In9 In 0.509 0.209 0.784
Ga3 Ga 0.500 0.000 0.500
# symmetry = C2/m
# formation enthalpy at 0 K = -0.3 kcal/mol of atoms
# raw total energy = -2.693 eV/atom
# spin magnetization = 0.00 μB/atom



# 2
# K2In7Ga | the Alexandria database | PBE | optimized geometry
data_K2In7Ga
_chemical_formula_sum 'K2 In7 Ga1'
_cell_length_a 4.939
_cell_length_b 4.939
_cell_length_c 12.516
_cell_angle_alpha 90.00
_cell_angle_beta 90.00
_cell_angle_gamma 90.00
_space_group_name_H-M_alt 'P 1'
_space_group_IT_number 1
_space_group_name_Hall 'P 1'
loop_
_atom_site_label
_atom_site_type_symbol
_atom_site_fract_x
_atom_site_fract_y
_atom_site_fract_z
K1 K 0.500 0.000 0.756
In1 In 0.500 0.500 0.500
In2 In 0.500 0.000 0.129
In3 In 0.000 0.500 0.641
In4 In 0.000 0.000 0.000
In5 In 0.000 0.500 0.871
K2 K 0.000 0.500 0.244
In6 In 0.000 0.000 0.500
In7 In 0.500 0.000 0.359
Ga1 Ga 0.500 0.500 0.000
# symmetry = P-4m2
# formation enthalpy at 0 K = -2.6 kcal/mol of atoms
# raw total energy = -2.552 eV/atom
# spin magnetization = 0.00 μB/atom



# 3
# KIn12Ga4 | the Alexandria database | PBE | optimized geometry
data_KIn12Ga4
_chemical_formula_sum 'K1 In12 Ga4'
_cell_length_a 8.552
_cell_length_b 8.552
_cell_length_c 8.552
_cell_angle_alpha 109.47
_cell_angle_beta 109.47
_cell_angle_gamma 109.47
_space_group_name_H-M_alt 'P 1'
_space_group_IT_number 1
_space_group_name_Hall 'P 1'
loop_
_atom_site_label
_atom_site_type_symbol
_atom_site_fract_x
_atom_site_fract_y
_atom_site_fract_z
In1 In 0.843 0.651 0.494
In2 In 0.651 0.807 0.157
Ga1 Ga 0.000 0.500 0.000
In3 In 0.349 0.506 0.157
Ga2 Ga 0.500 0.000 0.000
In4 In 0.494 0.843 0.651
In5 In 0.843 0.349 0.193
In6 In 0.651 0.494 0.843
K1 K 0.000 0.000 0.000
In7 In 0.349 0.193 0.843
Ga3 Ga 0.500 0.500 0.500
In8 In 0.807 0.157 0.651
In9 In 0.506 0.157 0.349
In10 In 0.193 0.843 0.349
In11 In 0.157 0.349 0.506
In12 In 0.157 0.651 0.807
Ga4 Ga 0.000 0.000 0.500
# symmetry = Im-3
# formation enthalpy at 0 K = 1.5 kcal/mol of atoms
# raw total energy = -2.644 eV/atom
# spin magnetization = 0.00 μB/atom



# 4
# K3In9Ga2 | the Alexandria database | PBE | optimized geometry
data_K3In9Ga2
_chemical_formula_sum 'K3 In9 Ga2'
_cell_length_a 5.035
_cell_length_b 9.388
_cell_length_c 9.388
_cell_angle_alpha 76.36
_cell_angle_beta 74.45
_cell_angle_gamma 74.45
_space_group_name_H-M_alt 'P 1'
_space_group_IT_number 1
_space_group_name_Hall 'P 1'
loop_
_atom_site_label
_atom_site_type_symbol
_atom_site_fract_x
_atom_site_fract_y
_atom_site_fract_z
K1 K 0.000 0.000 0.000
K2 K 0.700 0.300 0.300
In1 In 0.351 0.283 0.014
In2 In 0.649 0.986 0.717
Ga1 Ga 0.500 0.320 0.680
In3 In 0.860 0.421 0.860
K3 K 0.300 0.700 0.700
Ga2 Ga 0.500 0.680 0.320
In4 In 0.860 0.860 0.421
In5 In 0.351 0.014 0.283
In6 In 0.000 0.500 0.500
In7 In 0.140 0.140 0.579
In8 In 0.140 0.579 0.140
In9 In 0.649 0.717 0.986
# symmetry = Immm
# formation enthalpy at 0 K = -2.0 kcal/mol of atoms
# raw total energy = -2.516 eV/atom
# spin magnetization = 0.00 μB/atom



# 5
# K2InGa10 | the Alexandria database | PBE | optimized geometry
data_K2InGa10
_chemical_formula_sum 'K4 In2 Ga20'
_cell_length_a 6.175
_cell_length_b 8.129
_cell_length_c 14.202
_cell_angle_alpha 90.00
_cell_angle_beta 89.98
_cell_angle_gamma 90.00
_space_group_name_H-M_alt 'P 1'
_space_group_IT_number 1
_space_group_name_Hall 'P 1'
loop_
_atom_site_label
_atom_site_type_symbol
_atom_site_fract_x
_atom_site_fract_y
_atom_site_fract_z
Ga1 Ga 0.301 0.739 0.413
Ga2 Ga 0.000 0.342 0.966
K1 K 0.500 0.291 0.338
Ga3 Ga 0.000 0.401 0.692
Ga4 Ga 0.301 0.239 0.087
Ga5 Ga 0.000 0.842 0.534
K2 K 0.500 0.209 0.838
Ga6 Ga 0.301 0.261 0.587
Ga7 Ga 0.000 0.099 0.192
In1 In 0.000 0.000 0.000
In2 In 0.000 0.500 0.500
Ga8 Ga 0.000 0.433 0.161
Ga9 Ga 0.000 0.933 0.339
Ga10 Ga 0.000 0.567 0.839
Ga11 Ga 0.000 0.067 0.661
Ga12 Ga 0.000 0.599 0.308
Ga13 Ga 0.699 0.239 0.087
Ga14 Ga 0.699 0.261 0.587
Ga15 Ga 0.000 0.658 0.034
Ga16 Ga 0.000 0.901 0.808
K3 K 0.500 0.709 0.662
Ga17 Ga 0.000 0.158 0.466
Ga18 Ga 0.301 0.761 0.913
K4 K 0.500 0.791 0.162
Ga19 Ga 0.699 0.739 0.413
Ga20 Ga 0.699 0.761 0.913
# symmetry = Pbam
# formation enthalpy at 0 K = -0.7 kcal/mol of atoms
# raw total energy = -2.738 eV/atom
# spin magnetization = 0.00 μB/atom



# 6
# K2In9Ga3 | the Alexandria database | PBE | optimized geometry
data_K2In9Ga3
_chemical_formula_sum 'K4 In18 Ga6'
_cell_length_a 9.145
_cell_length_b 9.145
_cell_length_c 12.087
_cell_angle_alpha 88.73
_cell_angle_beta 113.12
_cell_angle_gamma 120.68
_space_group_name_H-M_alt 'P 1'
_space_group_IT_number 1
_space_group_name_Hall 'P 1'
loop_
_atom_site_label
_atom_site_type_symbol
_atom_site_fract_x
_atom_site_fract_y
_atom_site_fract_z
In1 In 0.462 0.923 0.742
In2 In 0.868 0.014 0.054
In3 In 0.783 0.302 0.923
Ga1 Ga 0.822 0.640 0.002
K1 K 0.004 0.412 0.251
In4 In 0.774 0.469 0.417
In5 In 0.226 0.531 0.583
K2 K 0.339 0.248 0.751
Ga2 Ga 0.500 0.500 0.500
In6 In 0.540 0.186 0.554
In7 In 0.538 0.077 0.258
In8 In 0.123 0.873 0.250
In9 In 0.877 0.127 0.750
Ga3 Ga 0.138 0.821 0.498
Ga4 Ga 0.862 0.179 0.502
In10 In 0.680 0.720 0.758
In11 In 0.320 0.280 0.242
K3 K 0.996 0.588 0.749
In12 In 0.448 0.643 0.917
In13 In 0.879 0.861 0.577
K4 K 0.661 0.752 0.249
In14 In 0.552 0.357 0.083
In15 In 0.460 0.814 0.446
Ga5 Ga 0.500 0.000 0.000
In16 In 0.217 0.698 0.077
In17 In 0.121 0.139 0.423
In18 In 0.132 0.986 0.946
Ga6 Ga 0.178 0.360 0.998
# symmetry = C2/c
# formation enthalpy at 0 K = -0.8 kcal/mol of atoms
# raw total energy = -2.600 eV/atom
# spin magnetization = 0.00 μB/atom



# 7
# K3In3Ga8 | the Alexandria database | PBE | optimized geometry
data_K3In3Ga8
_chemical_formula_sum 'K3 In3 Ga8'
_cell_length_a 4.630
_cell_length_b 9.159
_cell_length_c 9.159
_cell_angle_alpha 69.87
_cell_angle_beta 75.36
_cell_angle_gamma 75.36
_space_group_name_H-M_alt 'P 1'
_space_group_IT_number 1
_space_group_name_Hall 'P 1'
loop_
_atom_site_label
_atom_site_type_symbol
_atom_site_fract_x
_atom_site_fract_y
_atom_site_fract_z
Ga1 Ga 0.339 0.926 0.397
Ga2 Ga 0.834 0.539 0.793
Ga3 Ga 0.834 0.793 0.539
Ga4 Ga 0.339 0.397 0.926
K1 K 0.808 0.192 0.192
K2 K 0.500 0.500 0.500
K3 K 0.192 0.808 0.808
Ga5 Ga 0.661 0.074 0.603
Ga6 Ga 0.661 0.603 0.074
In1 In 0.000 0.790 0.210
Ga7 Ga 0.166 0.207 0.461
In2 In 0.000 0.210 0.790
In3 In 0.500 0.000 0.000
Ga8 Ga 0.166 0.461 0.207
# symmetry = Immm
# formation enthalpy at 0 K = -2.2 kcal/mol of atoms
# raw total energy = -2.645 eV/atom
# spin magnetization = 0.00 μB/atom



# 8
# KIn3Ga | the Alexandria database | PBE | optimized geometry
data_KIn3Ga
_chemical_formula_sum 'K1 In3 Ga1'
_cell_length_a 5.529
_cell_length_b 5.529
_cell_length_c 5.529
_cell_angle_alpha 90.00
_cell_angle_beta 90.00
_cell_angle_gamma 90.00
_space_group_name_H-M_alt 'P 1'
_space_group_IT_number 1
_space_group_name_Hall 'P 1'
loop_
_atom_site_label
_atom_site_type_symbol
_atom_site_fract_x
_atom_site_fract_y
_atom_site_fract_z
In1 In 0.000 0.500 0.000
Ga1 Ga 0.000 0.000 0.000
K1 K 0.500 0.500 0.500
In2 In 0.500 0.000 0.000
In3 In 0.000 0.000 0.500
# symmetry = Pm-3m
# E above lowest polymorph = 178 meV per atom
# formation enthalpy at 0 K = 2.3 kcal/mol of atoms
# raw total energy = -2.366 eV/atom
# spin magnetization = 0.00 μB/atom